Record 1
Entry from Alexandria via LeMat-Bulk: a relaxed structure of TiBrNO2 (PBE).

Cell: 4.542 3.509 3.966 Å, 90.00 90.00 90.00°
Fractional positions:
N (0.000, 0.000, 0.000)
O (0.500, 0.500, 0.500)
O (0.000, 0.500, 0.000)
Br (0.500, 0.000, 0.000)
Ti (0.000, 0.000, 0.500)

Space-group type: Pmmm
D(E_F): 3.63 states/eV per cell
Formation energy without anion corrections: 0.5510 eV/atom
Magnetization: 0.00 μB/f.u.



Record 2
Entry from Alexandria via LeMat-Bulk: a relaxed structure of TbNbP2 (PBE).

Cell: 3.690 3.690 6.873 Å, 74.43 74.43 60.00°
Fractional positions:
Tb (0.672, 0.672, 0.985)
Nb (0.496, 0.496, 0.512)
P (0.092, 0.092, 0.723)
P (0.240, 0.240, 0.280)

Space-group type: R3m
D(E_F): 0.29 states/eV per cell
Energy relative to the lowest polymorph listed for this composition: 0.00 eV/f.u.
Calculated formation energy: -1182 meV/atom
Magnetization: 0.00 μB/f.u.